Record 1
The following is a GGA-PBE calculation of crystalline Tc2SnBi at its relaxed geometry, from Alexandria.

The structure in POSCAR format:
```
Tc2SnBi
1.0
0.000 3.322 3.322
3.322 0.000 3.322
3.322 3.322 0.000
Tc Sn Bi
2 1 1
direct
0.250 0.250 0.250 Tc
0.750 0.750 0.750 Tc
0.000 0.000 0.000 Sn
0.500 0.500 0.500 Bi
```

Energy of formation   0.411 eV per atom
Excess energy over the best structure of this formula in the dataset   0.00 eV per formula unit

Record 2
The following is a GGA-PBE calculation of crystalline TcSn2Bi at its relaxed geometry, from Alexandria.

The structure in POSCAR format:
```
TcSn2Bi
1.0
1.594 0.920 11.698
-1.594 0.920 11.698
0.000 -1.840 11.698
Tc Sn Bi
1 2 1
direct
0.000 0.000 0.000 Tc
0.077 0.077 0.077 Sn
0.923 0.923 0.923 Sn
0.500 0.500 0.500 Bi
```

Energy of formation   0.747 eV per atom

Record 3
The following is a GGA-PBE calculation of crystalline Tl2TcSnBi at its relaxed geometry, from Alexandria.

The structure in POSCAR format:
```
Tl2TcSnBi
1.0
5.737 0.000 0.000
0.000 5.737 0.000
0.000 0.000 5.164
Tl Tc Sn Bi
2 1 1 1
direct
0.000 0.500 0.000 Tl
0.500 0.000 0.000 Tl
0.000 0.000 0.500 Tc
0.000 0.000 0.000 Sn
0.500 0.500 0.500 Bi
```

Energy of formation   1.006 eV per atom

Record 4
The following is a GGA-PBE calculation of crystalline SnBi2Te4 at its relaxed geometry, from Alexandria.

The structure in POSCAR format:
```
SnBi2Te4
1.0
2.213 -7.406 0.000
2.213 7.406 0.000
0.000 0.000 15.261
Sn Bi Te
2 4 8
direct
0.089 0.911 0.750 Sn
0.911 0.089 0.250 Sn
0.358 0.642 0.562 Bi
0.358 0.642 0.938 Bi
0.642 0.358 0.062 Bi
0.642 0.358 0.438 Bi
0.000 0.000 0.000 Te
0.000 0.000 0.500 Te
0.276 0.724 0.124 Te
0.276 0.724 0.376 Te
0.453 0.547 0.750 Te
0.547 0.453 0.250 Te
0.724 0.276 0.624 Te
0.724 0.276 0.876 Te
```

Formation energy without anion corrections   -0.19 eV/atom
Excess energy over the best structure of this formula in the dataset   0.49 eV per formula unit

Record 5
The following is a GGA-PBE calculation of crystalline SnBi2Te2 at its relaxed geometry, from Alexandria.

The structure in POSCAR format:
```
SnBi2Te2
1.0
8.823 0.000 0.000
0.000 8.823 0.000
0.000 0.000 4.141
Sn Bi Te
2 4 4
direct
0.000 0.000 0.000 Sn
0.500 0.500 0.000 Sn
0.162 0.338 0.000 Bi
0.338 0.838 0.000 Bi
0.662 0.162 0.000 Bi
0.838 0.662 0.000 Bi
0.157 0.657 0.500 Te
0.343 0.157 0.500 Te
0.657 0.843 0.500 Te
0.843 0.343 0.500 Te
```

Formation energy without anion corrections   0.05 eV/atom
Excess energy over the best structure of this formula in the dataset   0.00 eV per formula unit

Record 6
The following is a GGA-PBE calculation of crystalline SnBi2Te4 at its relaxed geometry, from Alexandria.

The structure in POSCAR format:
```
SnBi2Te4
1.0
14.931 -2.231 0.000
14.931 2.231 0.000
-13.168 0.000 19.300
Sn Bi Te
5 10 20
direct
0.000 0.000 0.000 Sn
0.004 0.004 0.729 Sn
0.379 0.379 0.236 Sn
0.597 0.597 0.922 Sn
0.632 0.632 0.219 Sn
0.193 0.193 0.840 Bi
0.195 0.195 0.124 Bi
0.214 0.214 0.410 Bi
0.402 0.402 0.518 Bi
0.406 0.406 0.806 Bi
0.499 0.499 0.218 Bi
0.597 0.597 0.639 Bi
0.786 0.786 0.043 Bi
0.814 0.814 0.605 Bi
0.989 0.989 0.442 Bi
0.009 0.009 0.867 Te
0.027 0.027 0.152 Te
0.183 0.183 0.699 Te
0.193 0.193 0.981 Te
0.216 0.216 0.269 Te
0.227 0.227 0.549 Te
0.376 0.376 0.100 Te
0.396 0.396 0.386 Te
0.411 0.411 0.666 Te
0.417 0.417 0.943 Te
0.580 0.580 0.500 Te
0.592 0.592 0.781 Te
0.607 0.607 0.062 Te
0.629 0.629 0.352 Te
0.777 0.777 0.900 Te
0.788 0.788 0.179 Te
0.811 0.811 0.464 Te
0.822 0.822 0.745 Te
0.971 0.971 0.295 Te
0.994 0.994 0.583 Te
```

Formation energy without anion corrections   -0.23 eV/atom
Excess energy over the best structure of this formula in the dataset   0.20 eV per formula unit

Number 1: electronic total energy -0.4956 Ry/atom. Number 2: electronic total energy -0.3540 Ry/atom. Number 3: electronic total energy -0.2639 Ry/atom. Number 4: electronic total energy -0.2694 Ry/atom. Number 5: electronic total energy -0.2619 Ry/atom. Number 6: electronic total energy -0.2725 Ry/atom.